Run A
A plane-wave DFT calculation with PBE-GGA was carried out for a relaxed structure of NaCaBe3.

```
NaCaBe3
1.0
4.6627 0.0000 0.0000
0.0000 4.6627 0.0000
0.0000 0.0000 4.6627
Na Ca Be
1 1 3
Cartesian
0.0000 0.0000 0.0000 Na
2.3314 2.3314 2.3314 Ca
0.0000 2.3314 0.0000 Be
0.0000 0.0000 2.3314 Be
2.3314 0.0000 0.0000 Be
```

=====

Run B
A plane-wave DFT calculation with PBE-GGA was carried out for a relaxed structure of NaCaBe3.

```
NaCaBe3
1.0
5.3964 0.0000 0.0000
0.0000 5.3964 0.0000
0.0000 0.0000 5.3964
Na Ca Be
1 1 3
Cartesian
2.6982 2.6982 2.6982 Na
0.0000 0.0000 0.0000 Ca
0.0000 2.6982 0.0000 Be
0.0000 0.0000 2.6982 Be
2.6982 0.0000 0.0000 Be
```

=====

What is the stability order? It is run A, run B, from most stable to least stable.

=====

Run A
A plane-wave DFT calculation with PBE-GGA was carried out for a relaxed structure of NaCaBe2.

```
NaCaBe2
1.0
4.4087 -0.0044 2.1170
1.7057 4.0714 2.1056
0.3748 0.2622 4.8693
Na Ca Be
1 1 2
Cartesian
0.0000 0.0000 0.0000 Na
3.2446 2.1646 4.5459 Ca
1.6223 1.0823 2.2730 Be
4.8669 3.2469 6.8189 Be
```

=====

Run B
A plane-wave DFT calculation with PBE-GGA was carried out for a relaxed structure of NaCaBe2.

```
NaCaBe2
1.0
-4.0942 1.5958 0.2244
-1.5780 -4.0943 0.3256
-2.1328 -0.7704 9.7033
Na Ca Be
2 2 4
Cartesian
-2.8361 -1.2492 0.2750 Na
-3.2735 -3.0570 5.1520 Na
0.0000 0.0000 0.0000 Ca
-4.5316 -0.2119 5.1013 Ca
-2.2652 -0.1062 2.5506 Be
-3.0554 -2.1529 2.7135 Be
-4.1214 -2.5389 7.5652 Be
-6.1681 -1.7398 7.6773 Be
```

=====

What is the stability order? It is run A, run B, from most stable to least stable.

=====

Run A
A plane-wave DFT calculation with PBE-GGA was carried out for a relaxed structure of NaCaBe2V.

```
NaCaBe2V
1.0
-2.2838 1.9217 3.5523
-3.6898 -3.4374 -0.5126
2.2146 -2.8168 2.9476
Na Ca Be V
1 1 2 1
Cartesian
-1.8449 -1.7187 -0.2563 Na
-1.8795 -2.1662 2.9937 Ca
1.1073 -1.4084 1.4738 Be
-1.1419 0.9609 1.7761 Be
0.0000 0.0000 0.0000 V
```

=====

Run B
A plane-wave DFT calculation with PBE-GGA was carried out for a relaxed structure of NaCaBe2V.

```
NaCaBe2V
1.0
-0.4074 1.8037 -4.3188
1.2446 -4.6616 -2.0642
-4.5458 -1.1845 -0.0659
Na Ca Be V
1 1 2 1
Cartesian
-1.8543 -2.0212 -3.2245 Na
0.6223 -2.3308 -1.0321 Ca
-2.2729 -0.5923 -0.0330 Be
-0.2037 0.9018 -2.1594 Be
0.0000 0.0000 0.0000 V
```

=====

What is the stability order? It is run A, run B, from most stable to least stable.

=====

Run A
A plane-wave DFT calculation with PBE-GGA was carried out for a relaxed structure of Ca2Be2Nb.

```
Ca2Be2Nb
1.0
-4.3431 -4.9758 0.5921
4.5545 -3.5931 3.2123
-1.4791 1.7771 4.0849
Be Nb Ca
4 2 4
Cartesian
2.3567 -5.0208 3.0376 Be
-0.9650 -6.6013 2.5224 Be
-2.1454 -3.5482 0.7667 Be
1.1763 -1.9676 1.2819 Be
0.0000 0.0000 0.0000 Nb
0.1057 -4.2845 1.9022 Nb
1.5756 -2.4454 4.3312 Ca
0.0469 -5.4406 5.0807 Ca
-2.8434 -4.3464 3.5581 Ca
-1.3147 -1.3513 2.8086 Ca
```

=====

Run B
A plane-wave DFT calculation with PBE-GGA was carried out for a relaxed structure of Ca2Be2Nb.

```
Ca2Be2Nb
1.0
3.9591 0.0000 0.0000
0.0000 3.9591 0.0000
1.9796 1.9796 6.1106
Be Nb Ca
2 1 2
Cartesian
1.9796 1.9796 0.9589 Be
3.9591 3.9591 5.1517 Be
0.0000 0.0000 0.0000 Nb
3.9591 1.9796 3.0553 Ca
1.9796 3.9591 3.0553 Ca
```

=====

What is the stability order? It is run A, run B, from most stable to least stable.

=====

Run A
A plane-wave DFT calculation with PBE-GGA was carried out for a relaxed structure of Ca3BeNb.

```
Ca3BeNb
1.0
5.4494 0.0000 0.0000
0.0000 5.4494 0.0000
0.0000 0.0000 5.4494
Be Nb Ca
1 1 3
Cartesian
0.0000 0.0000 0.0000 Be
2.7247 2.7247 2.7247 Nb
0.0000 2.7247 0.0000 Ca
0.0000 0.0000 2.7247 Ca
2.7247 0.0000 0.0000 Ca
```

=====

Run B
A plane-wave DFT calculation with PBE-GGA was carried out for a relaxed structure of Ca3BeNb.

```
Ca3BeNb
1.0
-1.4413 3.3259 4.1699
4.0280 -2.1528 3.1094
3.4964 3.8511 -1.8631
Be Nb Ca
1 1 3
Cartesian
3.0416 2.5122 2.7081 Be
0.0000 0.0000 0.0000 Nb
2.0140 -1.0764 1.5547 Ca
1.7482 1.9256 -0.9316 Ca
-0.7207 1.6630 2.0850 Ca
```

=====

What is the stability order? It is run A, run B, from most stable to least stable.

=====

Run A
A plane-wave DFT calculation with PBE-GGA was carried out for a relaxed structure of CaBe3Nb.

```
CaBe3Nb
1.0
4.5954 0.0000 0.0000
0.0000 4.5954 0.0000
0.0000 0.0000 4.5954
Be Nb Ca
3 1 1
Cartesian
0.0000 2.2977 0.0000 Be
0.0000 0.0000 2.2977 Be
2.2977 0.0000 0.0000 Be
0.0000 0.0000 0.0000 Nb
2.2977 2.2977 2.2977 Ca
```

=====

Run B
A plane-wave DFT calculation with PBE-GGA was carried out for a relaxed structure of CaBe3Nb.

```
CaBe3Nb
1.0
-0.5445 0.9185 -4.1884
0.3891 -4.1940 -0.9703
-4.2702 -0.4993 0.4457
Be Nb Ca
3 1 1
Cartesian
0.1945 -2.0970 -0.4851 Be
-2.1351 -0.2496 0.2228 Be
-0.2723 0.4592 -2.0942 Be
-2.2128 -1.8874 -2.3565 Nb
0.0000 0.0000 0.0000 Ca
```

=====

What is the stability order? It is run A, run B, from most stable to least stable.

=====

Run A
A plane-wave DFT calculation with PBE-GGA was carried out for a relaxed structure of CaBeNi.

```
CaBeNi
1.0
3.8052 0.0000 0.0000
-1.9026 3.2954 0.0000
0.0000 0.0000 4.1913
Ni Ca Be
1 1 1
Cartesian
1.9026 1.0985 3.4924 Ni
0.0000 2.1969 1.3974 Ca
0.0000 0.0000 3.4929 Be
```

=====

Run B
A plane-wave DFT calculation with PBE-GGA was carried out for a relaxed structure of CaBeNi.

```
CaBeNi
1.0
4.3033 0.0000 0.0000
2.1516 3.7268 0.0000
2.1516 1.2423 3.5136
Ni Ca Be
1 1 1
Cartesian
6.4549 3.7268 2.6352 Ni
4.3033 2.4845 1.7568 Ca
0.0000 0.0000 0.0000 Be
```

=====

Run C
A plane-wave DFT calculation with PBE-GGA was carried out for a relaxed structure of CaBeNi.

```
CaBeNi
1.0
-3.7105 -3.1575 -2.4844
0.0615 -5.2039 -1.6810
1.0612 3.5454 4.0266
Ni Ca Be
1 1 1
Cartesian
-2.2411 -5.1351 -2.5582 Ni
-1.2080 -2.7680 -1.3789 Ca
-0.2000 -0.4582 -0.2282 Be
```

=====

Run D
A plane-wave DFT calculation with PBE-GGA was carried out for a relaxed structure of CaBeNi.

```
CaBeNi
1.0
-3.0546 2.2714 -1.0989
-3.3833 -4.0453 1.0317
-2.9806 1.6567 4.5766
Ca Be Ni
2 2 2
Cartesian
-5.6771 -0.7249 3.5552 Ca
-3.7415 0.6076 0.9542 Ca
-3.7799 -2.4779 1.8011 Be
-5.6387 2.3607 2.7083 Be
-5.3655 -1.7651 0.5380 Ni
-4.0530 1.6479 3.9714 Ni
```

=====

What is the stability order? It is run D, run A, run C, run B, from most stable to least stable.

=====

Run A
A plane-wave DFT calculation with PBE-GGA was carried out for a relaxed structure of CaBe3O.

```
CaBe3O
1.0
4.0288 0.0000 0.0000
0.0000 4.0288 0.0000
0.0000 0.0000 4.0288
Be Ca O
3 1 1
Cartesian
0.0000 2.0144 0.0000 Be
0.0000 0.0000 2.0144 Be
2.0144 0.0000 0.0000 Be
2.0144 2.0144 2.0144 Ca
0.0000 0.0000 0.0000 O
```

=====

Run B
A plane-wave DFT calculation with PBE-GGA was carried out for a relaxed structure of CaBe3O.

```
CaBe3O
1.0
-0.9526 -1.7892 5.0739
4.8244 -2.5648 0.0013
2.3813 4.4804 2.0270
Be Ca O
3 1 1
Cartesian
2.4122 -1.2824 0.0007 Be
1.1907 2.2402 1.0135 Be
-0.4763 -0.8946 2.5369 Be
0.0000 0.0000 0.0000 Ca
3.1266 0.0632 3.5511 O
```

=====

What is the stability order? It is run A, run B, from most stable to least stable.